# 1
Crystalline KCd2AgHg at its relaxed geometry. Source: Alexandria via LeMat-Bulk, functional PBE.

Computed properties:
Energy above the lowest structure with this stoichiometry in meV per atom: 74
Energy relative to the elements in eV per atom: 0.0739

```
data_KCd2AgHg
_symmetry_space_group_name_H-M 'P 4/m m m'
_symmetry_Int_Tables_number 123
_symmetry_space_group_name_Hall '-P 4 2'
_cell_length_a 5.396
_cell_length_b 5.396
_cell_length_c 6.182
_cell_angle_alpha 90.00
_cell_angle_beta 90.00
_cell_angle_gamma 90.00
loop_
_atom_site_label
_atom_site_fract_x
_atom_site_fract_y
_atom_site_fract_z
_atom_site_occupancy
K1 0.000 0.000 0.000 1
Cd1 0.000 0.500 0.500 1
Ag1 0.000 0.000 0.500 1
Hg1 0.500 0.500 0.000 1
```

***

# 2
Crystalline Cs2SnBr at its relaxed geometry. Source: Alexandria via LeMat-Bulk, functional PBE.

Computed properties:
Formation energy from raw total energies in eV per atom: -0.5737
Energy above the lowest structure with this stoichiometry in meV per atom: 0

```
data_Cs2SnBr
_symmetry_space_group_name_H-M 'F m -3 m'
_symmetry_Int_Tables_number 225
_symmetry_space_group_name_Hall '-F 4 2 3'
_cell_length_a 9.292
_cell_length_b 9.292
_cell_length_c 9.292
_cell_angle_alpha 90.00
_cell_angle_beta 90.00
_cell_angle_gamma 90.00
loop_
_atom_site_label
_atom_site_fract_x
_atom_site_fract_y
_atom_site_fract_z
_atom_site_occupancy
Cs1 0.250 0.250 0.250 1
Sn1 0.000 0.000 0.000 1
Br1 0.000 0.000 0.500 1
```

***

# 3
Crystalline AcLaTb3Y at its relaxed geometry. Source: Alexandria via LeMat-Bulk, functional PBE.

Computed properties:
Energy relative to the elements in eV per atom: 0.1021

```
data_AcLaTb3Y
_symmetry_space_group_name_H-M 'C 1 2/m 1'
_symmetry_Int_Tables_number 12
_symmetry_space_group_name_Hall '-C 2y'
_cell_length_a 17.259
_cell_length_b 5.655
_cell_length_c 8.780
_cell_angle_alpha 90.00
_cell_angle_beta 93.23
_cell_angle_gamma 90.00
loop_
_atom_site_label
_atom_site_fract_x
_atom_site_fract_y
_atom_site_fract_z
_atom_site_occupancy
Ac1 0.098 0.000 0.084 1
La1 0.083 0.500 0.391 1
Tb1 0.062 0.000 0.653 1
Tb2 0.116 0.500 0.829 1
Tb3 0.250 0.000 0.835 1
Y1 0.224 0.000 0.416 1
```

***

# 4
Crystalline HoGa3Cu at its relaxed geometry. Source: Alexandria via LeMat-Bulk, functional PBE.

Computed properties:
Energy above the lowest structure with this stoichiometry in meV per atom: 39
Energy relative to the elements in eV per atom: -0.4240

```
data_HoGa3Cu
_symmetry_space_group_name_H-M 'P 1 21/m 1'
_symmetry_Int_Tables_number 11
_symmetry_space_group_name_Hall '-P 2yb'
_cell_length_a 5.502
_cell_length_b 5.762
_cell_length_c 5.619
_cell_angle_alpha 90.00
_cell_angle_beta 91.82
_cell_angle_gamma 90.00
loop_
_atom_site_label
_atom_site_fract_x
_atom_site_fract_y
_atom_site_fract_z
_atom_site_occupancy
Ho1 0.155 0.250 0.169 1
Ga1 0.067 0.750 0.341 1
Ga2 0.347 0.005 0.676 1
Cu1 0.362 0.750 0.034 1
```

***

# 5
Crystalline La3HgO at its relaxed geometry. Source: Alexandria via LeMat-Bulk, functional PBE.

Computed properties:
Formation energy from raw total energies in eV per atom: -1.2529
Energy above the lowest structure with this stoichiometry in meV per atom: 111

```
data_La3HgO
_symmetry_space_group_name_H-M 'C 1 2/c 1'
_symmetry_Int_Tables_number 15
_symmetry_space_group_name_Hall '-C 2yc'
_cell_length_a 15.099
_cell_length_b 10.578
_cell_length_c 7.988
_cell_angle_alpha 90.00
_cell_angle_beta 112.72
_cell_angle_gamma 90.00
loop_
_atom_site_label
_atom_site_fract_x
_atom_site_fract_y
_atom_site_fract_z
_atom_site_occupancy
La1 0.000 0.250 0.000 1
La2 0.134 0.002 0.344 1
La3 0.134 0.498 0.844 1
Hg1 0.250 0.247 0.749 1
O1 0.000 0.122 0.750 1
O2 0.000 0.378 0.250 1
```

***

# 6
Crystalline MgAsAuBr2 at its relaxed geometry. Source: Alexandria via LeMat-Bulk, functional PBE.

Computed properties:
Formation energy from raw total energies in eV per atom: 0.1525
Energy above the lowest structure with this stoichiometry in meV per atom: 0

```
data_MgAsAuBr2
_symmetry_space_group_name_H-M 'P 4/m m m'
_symmetry_Int_Tables_number 123
_symmetry_space_group_name_Hall '-P 4 2'
_cell_length_a 4.881
_cell_length_b 4.881
_cell_length_c 6.256
_cell_angle_alpha 90.00
_cell_angle_beta 90.00
_cell_angle_gamma 90.00
loop_
_atom_site_label
_atom_site_fract_x
_atom_site_fract_y
_atom_site_fract_z
_atom_site_occupancy
Mg1 0.000 0.000 0.000 1
As1 0.000 0.000 0.500 1
Au1 0.500 0.500 0.500 1
Br1 0.000 0.500 0.000 1
```

***

# 7
Crystalline Ce2Al7Zn at its relaxed geometry. Source: Alexandria via LeMat-Bulk, functional PBE.

Computed properties:
Energy relative to the elements in eV per atom: -0.3052

```
data_Ce2Al7Zn
_symmetry_space_group_name_H-M 'P -4 m 2'
_symmetry_Int_Tables_number 115
_symmetry_space_group_name_Hall 'P -4 -2'
_cell_length_a 4.256
_cell_length_b 4.256
_cell_length_c 11.146
_cell_angle_alpha 90.00
_cell_angle_beta 90.00
_cell_angle_gamma 90.00
loop_
_atom_site_label
_atom_site_fract_x
_atom_site_fract_y
_atom_site_fract_z
_atom_site_occupancy
Ce1 0.000 0.500 0.250 1
Al1 0.000 0.000 0.000 1
Al2 0.000 0.000 0.500 1
Al3 0.000 0.500 0.640 1
Al4 0.000 0.500 0.866 1
Al5 0.500 0.500 0.500 1
Zn1 0.500 0.500 0.000 1
```

***

# 8
Crystalline TiCrP2 at its relaxed geometry. Source: Alexandria via LeMat-Bulk, functional PBE.

Computed properties:
Energy above the lowest structure with this stoichiometry in meV per atom: 56
Energy relative to the elements in eV per atom: -0.7120

```
data_TiCrP2
_symmetry_space_group_name_H-M 'R 3 m'
_symmetry_Int_Tables_number 160
_symmetry_space_group_name_Hall 'R 3 -2"'
_cell_length_a 3.4729
_cell_length_b 3.4729
_cell_length_c 16.4116
_cell_angle_alpha 90.00
_cell_angle_beta 90.00
_cell_angle_gamma 120.00
loop_
_atom_site_label
_atom_site_fract_x
_atom_site_fract_y
_atom_site_fract_z
_atom_site_occupancy
Ti1 0.0000 0.0000 0.0000 1
Cr1 0.0000 0.0000 0.1792 1
P1 0.0000 0.0000 0.4287 1
P2 0.0000 0.0000 0.5812 1
```

***

# 9
Crystalline LiYP2O at its relaxed geometry. Source: Alexandria via LeMat-Bulk, functional PBE.

Computed properties:
Formation energy from raw total energies in eV per atom: -0.3875
Energy above the lowest structure with this stoichiometry in meV per atom: 0

```
data_LiYP2O
_symmetry_space_group_name_H-M 'P 4/m m m'
_symmetry_Int_Tables_number 123
_symmetry_space_group_name_Hall '-P 4 2'
_cell_length_a 4.438
_cell_length_b 4.438
_cell_length_c 3.935
_cell_angle_alpha 90.00
_cell_angle_beta 90.00
_cell_angle_gamma 90.00
loop_
_atom_site_label
_atom_site_fract_x
_atom_site_fract_y
_atom_site_fract_z
_atom_site_occupancy
Li1 0.000 0.000 0.000 1
Y1 0.500 0.500 0.500 1
P1 0.000 0.500 0.000 1
O1 0.000 0.000 0.500 1
```

***

# 10
Crystalline MnZnAs2 at its relaxed geometry. Source: Alexandria via LeMat-Bulk, functional PBE.

Computed properties:
Energy relative to the elements in eV per atom: 0.1549

```
data_MnZnAs2
_symmetry_space_group_name_H-M 'C m m m'
_symmetry_Int_Tables_number 65
_symmetry_space_group_name_Hall '-C 2 2'
_cell_length_a 5.579
_cell_length_b 6.958
_cell_length_c 3.493
_cell_angle_alpha 90.00
_cell_angle_beta 90.00
_cell_angle_gamma 90.00
loop_
_atom_site_label
_atom_site_fract_x
_atom_site_fract_y
_atom_site_fract_z
_atom_site_occupancy
Mn1 0.000 0.000 0.000 1
Zn1 0.000 0.500 0.000 1
As1 0.250 0.250 0.500 1
```

***

# 11
Crystalline LiTlMo2 at its relaxed geometry. Source: Alexandria via LeMat-Bulk, functional PBE.

Computed properties:
Energy above the lowest structure with this stoichiometry in meV per atom: 66
Energy relative to the elements in eV per atom: 0.3497

```
data_LiTlMo2
_symmetry_space_group_name_H-M 'C m m 2'
_symmetry_Int_Tables_number 35
_symmetry_space_group_name_Hall 'C 2 -2'
_cell_length_a 3.267
_cell_length_b 4.919
_cell_length_c 9.222
_cell_angle_alpha 90.00
_cell_angle_beta 90.00
_cell_angle_gamma 90.00
loop_
_atom_site_label
_atom_site_fract_x
_atom_site_fract_y
_atom_site_fract_z
_atom_site_occupancy
Li1 0.000 0.000 0.000 1
Tl1 0.000 0.500 0.740 1
Mo1 0.000 0.000 0.457 1
Mo2 0.000 0.500 0.250 1
```

***

# 12
Crystalline SrZrSi2 at its relaxed geometry. Source: Alexandria via LeMat-Bulk, functional PBE.

Computed properties:
Formation energy from raw total energies in eV per atom: -0.0416
Energy above the lowest structure with this stoichiometry in meV per atom: 387

```
data_SrZrSi2
_symmetry_space_group_name_H-M 'I 4/m m m'
_symmetry_Int_Tables_number 139
_symmetry_space_group_name_Hall '-I 4 2'
_cell_length_a 4.622
_cell_length_b 4.622
_cell_length_c 7.975
_cell_angle_alpha 90.00
_cell_angle_beta 90.00
_cell_angle_gamma 90.00
loop_
_atom_site_label
_atom_site_fract_x
_atom_site_fract_y
_atom_site_fract_z
_atom_site_occupancy
Sr1 0.000 0.000 0.000 1
Zr1 0.000 0.000 0.500 1
Si1 0.000 0.500 0.250 1
```

***

Calculated total DFT energy (no corrections) in order - -1.14; -2.42; -4.80; -3.97; -5.26; -2.42; -4.24; -7.80; -5.22; -4.78; -6.14; -5.31 eV/atom